Entry from Alexandria via LeMat-Bulk: an optimized crystal structure of Pr2Dy5Ho6 (PBE).

```
Pr2Dy5Ho6
1.0
3.578 0.000 0.000
0.000 11.693 0.000
0.000 0.000 20.215
Pr Dy Ho
4 10 12
Cartesian
0.000 3.885 5.720 Pr
0.000 7.808 14.495 Pr
0.000 9.732 4.388 Pr
0.000 1.962 15.827 Pr
1.789 3.507 9.064 Dy
1.789 8.186 11.151 Dy
1.789 9.354 1.044 Dy
1.789 2.339 19.171 Dy
1.789 6.933 5.638 Dy
1.789 4.761 14.577 Dy
1.789 1.086 4.469 Dy
1.789 10.607 15.745 Dy
1.789 5.847 0.000 Dy
1.789 0.000 10.107 Dy
0.000 0.912 7.380 Ho
0.000 10.781 12.834 Ho
0.000 6.758 2.727 Ho
0.000 4.935 17.488 Ho
1.789 3.747 2.539 Ho
1.789 7.946 17.676 Ho
1.789 9.594 7.569 Ho
1.789 2.099 12.646 Ho
0.000 6.540 8.546 Ho
0.000 5.153 11.669 Ho
0.000 0.693 1.561 Ho
0.000 11.000 18.653 Ho
```

Results
Formation enthalpy at 0 K   2.32 kcal/mol of atoms
Crystal system   orthorhombic